A:
! YZr2Br PBE relaxed; values from VASP
! - space group = Cm
&SYSTEM
  ibrav = 0, nat = 4, ntyp = 3
/
ATOMIC_SPECIES
Y 88.91 Y.upf
Zr 91.22 Zr.upf
Br 79.90 Br.upf
CELL_PARAMETERS angstrom
5.451 -1.650 0.000
5.451 1.650 0.000
-1.403 0.000 5.697
ATOMIC_POSITIONS angstrom
Y 0.000 0.000 0.000
Zr 1.362 0.000 3.444
Zr 4.367 0.000 2.963
Br 8.101 0.000 1.151

---

B:
! YZr2Br PBE relaxed; values from VASP
! - space group = Pmmm
&SYSTEM
  ibrav = 0, nat = 4, ntyp = 3
/
ATOMIC_SPECIES
Y 88.91 Y.upf
Zr 91.22 Zr.upf
Br 79.90 Br.upf
CELL_PARAMETERS angstrom
3.319 0.000 0.000
0.000 5.213 0.000
0.000 0.000 5.754
ATOMIC_POSITIONS angstrom
Y 0.000 0.000 0.000
Zr 0.000 2.607 2.877
Zr 1.660 0.000 2.877
Br 1.660 2.607 0.000

---

Preferred: A; penalty for the next structure: 0.054 eV/atom.

---

A:
! BaTaPb PBE relaxed; values from VASP
! - space group = Imm2
&SYSTEM
  ibrav = 0, nat = 3, ntyp = 3
/
ATOMIC_SPECIES
Ba 137.33 Ba.upf
Ta 180.95 Ta.upf
Pb 207.20 Pb.upf
CELL_PARAMETERS angstrom
-1.889 2.022 6.202
1.889 -2.022 6.202
1.889 2.022 -6.202
ATOMIC_POSITIONS angstrom
Ba 0.000 0.000 0.000
Ta 0.000 0.000 3.568
Pb 0.000 0.000 8.949

---

B:
! BaTaPb PBE relaxed; values from VASP
! - space group = P-6m2
&SYSTEM
  ibrav = 0, nat = 3, ntyp = 3
/
ATOMIC_SPECIES
Ba 137.33 Ba.upf
Ta 180.95 Ta.upf
Pb 207.20 Pb.upf
CELL_PARAMETERS angstrom
5.465 0.000 0.000
-2.732 4.732 0.000
0.000 0.000 3.450
ATOMIC_POSITIONS angstrom
Ba 0.000 0.000 0.000
Ta 0.000 3.155 1.725
Pb 2.732 1.577 1.725

---

Preferred: A; penalty for the next structure: 0.185 eV/atom.

---

A:
! MgSbTe2 PBE relaxed; values from VASP
! - space group = Cmmm
&SYSTEM
  ibrav = 0, nat = 4, ntyp = 3
/
ATOMIC_SPECIES
Mg 24.30 Mg.upf
Sb 121.76 Sb.upf
Te 127.60 Te.upf
CELL_PARAMETERS angstrom
2.154 -3.372 0.000
2.154 3.372 0.000
0.000 0.000 8.211
ATOMIC_POSITIONS angstrom
Mg 0.000 0.000 0.000
Sb 0.000 0.000 4.106
Te 2.154 0.000 1.911
Te 2.154 0.000 6.300

---

B:
! MgSbTe2 PBE relaxed; values from VASP
! - space group = F-43m
&SYSTEM
  ibrav = 0, nat = 4, ntyp = 3
/
ATOMIC_SPECIES
Mg 24.30 Mg.upf
Sb 121.76 Sb.upf
Te 127.60 Te.upf
CELL_PARAMETERS angstrom
0.000 3.778 3.778
3.778 0.000 3.778
3.778 3.778 0.000
ATOMIC_POSITIONS angstrom
Mg 0.000 0.000 0.000
Sb 5.667 5.667 5.667
Te 1.889 1.889 1.889
Te 3.778 3.778 3.778

---

Preferred: A; penalty for the next structure: 0.199 eV/atom.

---

A:
! B2C PBE relaxed; values from VASP
! - space group = P3m1
&SYSTEM
  ibrav = 0, nat = 12, ntyp = 2
/
ATOMIC_SPECIES
B 10.81 B.upf
C 12.01 C.upf
CELL_PARAMETERS angstrom
2.746 0.000 0.000
-1.373 2.378 0.000
0.000 0.000 15.612
ATOMIC_POSITIONS angstrom
B 0.000 0.000 0.000
B 0.000 0.000 1.707
B 0.000 0.000 8.437
B 0.000 1.586 2.045
B 0.000 1.586 5.772
B 1.373 0.793 7.458
B 1.373 0.793 12.374
B 1.373 0.793 15.282
C 0.000 0.000 10.008
C 0.000 1.586 10.535
C 0.000 1.586 12.167
C 1.373 0.793 5.886

---

B:
! B2C PBE relaxed; values from VASP
! - space group = C2/m
&SYSTEM
  ibrav = 0, nat = 12, ntyp = 2
/
ATOMIC_SPECIES
B 10.81 B.upf
C 12.01 C.upf
CELL_PARAMETERS angstrom
5.497 -1.378 0.000
5.497 1.378 0.000
-1.398 0.000 5.636
ATOMIC_POSITIONS angstrom
B 0.417 0.000 0.761
B 0.063 0.000 4.785
B 1.926 0.000 5.453
B 3.543 0.000 1.731
B 6.053 0.000 3.905
B 7.671 0.000 0.183
B 9.533 0.000 0.851
B 9.180 0.000 4.875
C 2.494 0.000 2.898
C 3.068 0.000 4.311
C 6.528 0.000 1.325
C 7.102 0.000 2.738

---

Preferred: B; penalty for the next structure: 0.219 eV/atom.

---

A:
! Tm2ZrSc3 PBE relaxed; values from VASP
! - space group = C2/m
&SYSTEM
  ibrav = 0, nat = 12, ntyp = 3
/
ATOMIC_SPECIES
Tm 168.93 Tm.upf
Zr 91.22 Zr.upf
Sc 44.96 Sc.upf
CELL_PARAMETERS angstrom
2.879 -4.987 0.000
2.879 4.987 0.000
-1.917 0.000 10.788
ATOMIC_POSITIONS angstrom
Tm 0.000 0.000 0.000
Tm 1.920 3.323 5.394
Tm 1.920 0.000 5.394
Tm 1.920 -3.323 5.394
Zr 2.879 1.663 0.000
Zr 2.879 -1.663 0.000
Sc 0.986 1.706 2.596
Sc 0.053 0.000 8.188
Sc 0.986 -1.706 2.596
Sc 2.855 1.706 8.192
Sc 3.788 0.000 2.601
Sc 2.855 -1.706 8.192

---

B:
! Tm2ZrSc3 PBE relaxed; values from VASP
! - space group = Imma
&SYSTEM
  ibrav = 0, nat = 12, ntyp = 3
/
ATOMIC_SPECIES
Tm 168.93 Tm.upf
Zr 91.22 Zr.upf
Sc 44.96 Sc.upf
CELL_PARAMETERS angstrom
-2.328 7.067 4.725
2.328 -7.067 4.725
2.328 7.067 -4.725
ATOMIC_POSITIONS angstrom
Tm 0.000 1.222 1.145
Tm 2.328 1.222 3.580
Tm 0.000 5.844 1.145
Tm 2.328 5.844 3.580
Zr 2.328 -3.533 3.454
Zr 0.000 10.600 1.271
Sc 2.328 -1.302 1.235
Sc 2.328 5.764 -1.235
Sc 2.328 3.533 1.100
Sc 0.000 3.533 3.625
Sc 0.000 1.302 5.960
Sc 0.000 8.369 3.489

---

Preferred: B; penalty for the next structure: 0.015 eV/atom.

---

A:
! Ba2SrBr PBE relaxed; values from VASP
! - space group = Pm
&SYSTEM
  ibrav = 0, nat = 4, ntyp = 3
/
ATOMIC_SPECIES
Ba 137.33 Ba.upf
Sr 87.62 Sr.upf
Br 79.90 Br.upf
CELL_PARAMETERS angstrom
7.326 0.000 0.000
0.000 4.357 0.000
-3.654 0.000 6.550
ATOMIC_POSITIONS angstrom
Ba 0.000 0.000 0.000
Ba 0.045 2.179 4.172
Sr 3.714 2.179 2.502
Br 3.634 0.000 0.151

---

B:
! Ba2SrBr PBE relaxed; values from VASP
! - space group = C2/m
&SYSTEM
  ibrav = 0, nat = 4, ntyp = 3
/
ATOMIC_SPECIES
Ba 137.33 Ba.upf
Sr 87.62 Sr.upf
Br 79.90 Br.upf
CELL_PARAMETERS angstrom
4.385 -5.352 0.000
4.385 5.352 0.000
-0.008 0.000 4.308
ATOMIC_POSITIONS angstrom
Ba 2.192 2.676 0.000
Ba 2.192 -2.676 0.000
Sr -0.004 0.000 2.154
Br 4.381 0.000 2.154

---

Preferred: A; penalty for the next structure: 0.196 eV/atom.

---

A:
! BaCoRe2 PBE relaxed; values from VASP
! - space group = C2/m
&SYSTEM
  ibrav = 0, nat = 4, ntyp = 3
/
ATOMIC_SPECIES
Ba 137.33 Ba.upf
Co 58.93 Co.upf
Re 186.21 Re.upf
CELL_PARAMETERS angstrom
2.669 -5.374 0.000
2.669 5.374 0.000
-1.128 0.000 2.620
ATOMIC_POSITIONS angstrom
Ba 0.000 0.000 0.000
Co 2.669 0.000 0.000
Re 0.771 2.687 1.310
Re 0.771 -2.687 1.310

---

B:
! BaCoRe2 PBE relaxed; values from VASP
! - space group = R-3m
&SYSTEM
  ibrav = 0, nat = 4, ntyp = 3
/
ATOMIC_SPECIES
Ba 137.33 Ba.upf
Co 58.93 Co.upf
Re 186.21 Re.upf
CELL_PARAMETERS angstrom
1.440 0.831 10.159
-1.440 0.831 10.159
0.000 -1.663 10.159
ATOMIC_POSITIONS angstrom
Ba 0.000 0.000 0.000
Co 0.000 0.000 15.239
Re 0.000 0.000 7.060
Re 0.000 0.000 23.419

---

Preferred: B; penalty for the next structure: 0.241 eV/atom.